(1)
First-principles (PBE-GGA) data for a geometry-optimized HfMg2Cd4 structure, as listed in Alexandria.

Geometry as extended XYZ:
```
7
Lattice="2.5722 -7.0291 0.0000 2.5722 7.0291 0.0000 0.0000 0.0000 5.2170" Properties=species:S:1:pos:R:3 pbc="T T T"
Hf 0.0000 0.0000 0.0000
Mg 2.5722 2.6904 2.6085
Mg 2.5722 -2.6904 2.6085
Cd 2.5722 5.5806 2.6085
Cd 2.5722 1.5122 0.0000
Cd 2.5722 -1.5122 0.0000
Cd 2.5722 -5.5806 2.6085
```

**Crystal system**: orthorhombic

(2)
First-principles (PBE-GGA) data for a geometry-optimized Hf2MgCd2 structure, as listed in Alexandria.

Geometry as extended XYZ:
```
10
Lattice="8.7109 0.0000 0.0000 0.0000 8.7109 0.0000 0.0000 0.0000 3.0735" Properties=species:S:1:pos:R:3 pbc="T T T"
Hf 1.0511 3.3044 0.0000
Hf 3.3044 7.6599 0.0000
Hf 5.4065 1.0511 0.0000
Hf 7.6599 5.4065 0.0000
Mg 0.0000 0.0000 0.0000
Mg 4.3555 4.3555 0.0000
Cd 1.5321 5.8876 1.5368
Cd 2.8233 1.5321 1.5368
Cd 5.8876 7.1788 1.5368
Cd 7.1788 2.8233 1.5368
```

**Crystal system**: tetragonal
**Energy above the most stable polymorph in this dataset**: 99 meV per atom

Record-wise E_form values, in eV per atom: 0.369 0.282
Record-wise energy values, in eV/atom: -2.0319 -4.3839